1.
## MgReHg (GGA-PBE)

Data for a relaxed MgReHg crystal.

Computed properties:
- E_form: 513 meV/atom
- Size of the total moment: 0.0 μB per cell
- Space group: No. 107
- Relative energy among the computed polymorphs: 482 meV per atom

Lattice parameters (Å, degrees): 7.0688 7.0688 7.0688 156.99 156.99 32.77
Element x y z (fractional)
1 Re 0.6735 0.6735 0.0000
2 Hg 0.0005 0.0005 0.0000
3 Mg 0.3260 0.3260 0.0000


2.
## SiBiSe4 (GGA-PBE)

Data for a relaxed SiBiSe4 crystal.

Computed properties:
- Size of the total moment: 0.0 μB per cell
- Space group: No. 112
- Raw formation energy: -0.230 eV/atom

Lattice parameters (Å, degrees): 6.2258 6.2258 9.9869 90.00 90.00 90.00
Element x y z (fractional)
1 Se 0.7002 0.2484 0.6367
2 Se 0.2484 0.7002 0.1367
3 Se 0.2998 0.2484 0.8633
4 Se 0.7002 0.7516 0.8633
5 Se 0.7516 0.2998 0.1367
6 Se 0.2998 0.7516 0.6367
7 Se 0.2484 0.2998 0.3633
8 Se 0.7516 0.7002 0.3633
9 Bi 0.0000 0.0000 0.0000
10 Bi 0.0000 0.0000 0.5000
11 Si 0.0000 0.5000 0.2500
12 Si 0.5000 0.0000 0.7500


Short version: DOS at the Fermi energy = 2.7 4.1 states/eV/cell, in the order given.
Short version: theoretical density = 12.66 4.74 g/cm³, in the order given.